Compound: LaZr2Se
Source: Alexandria
Functional: SCAN
Structure: single point on PBEsol structure

a = 4.2820 Å, b = 4.2820 Å, c = 5.7503 Å
α = 111.86°, β = 111.86°, γ = 90.00°
Closest atoms and distances in Å follow each position.
Fractional positions:
La: 0.5000 0.5000 0.0000  4 Se 3.03, 8 Zr 3.25
Se: 0.0000 0.0000 0.0000  4 La 3.03, 8 Zr 3.25
Zr: 0.7500 0.2500 0.5000  4 Zr 3.03, 4 Se 3.25, 4 La 3.25
Zr: 0.2500 0.7500 0.5000  4 Zr 3.03, 4 Se 3.25, 4 La 3.25

Properties
Total magnetization = 0.000 μB per atom
Total DFT energy (no corrections) = -125.613 eV per cell
Symmetry = I4/mmm, No. 139
Formation energy without anion corrections = -0.258 eV per atom